Below is a geometry-optimized SrLa2TlRh structure, with properties calculated at the PBE-GGA level.

abc: 5.5458 5.5458 5.5518
angles: 90.00 90.00 90.00
With the nearest neighbours (Å) after each atom.
Positions (direct):
Sr: 0.5000 0.5000 0.5000  4 Tl 3.92, 8 La 3.92
Tl: 0.0000 0.0000 0.5000  2 Rh 2.78
Rh: 0.0000 0.0000 0.0000  4 La 2.77, 2 Tl 2.78
La: 0.0000 0.5000 0.0000  2 Rh 2.77
La: 0.5000 0.0000 0.0000  2 Rh 2.77

Computed properties:
ρ ... 6.542 g cm⁻³
Electronic total energy ... -22.9 eV for the cell shown
Formation enthalpy at 0 K ... -1.6 eV per formula unit

***

Below is a geometry-optimized Sr2LaTlRh structure, with properties calculated at the PBE-GGA level.

abc: 5.8625 5.8625 5.3997
angles: 90.00 90.00 90.00
With the nearest neighbours (Å) after each atom.
Positions (direct):
Sr: 0.0000 0.5000 0.0000  2 Rh 2.93
Sr: 0.5000 0.0000 0.0000  2 Rh 2.93
Tl: 0.5000 0.5000 0.5000  8 Sr 3.99, 4 La 4.15
Rh: 0.0000 0.0000 0.0000  2 La 2.70, 4 Sr 2.93
La: 0.0000 0.0000 0.5000  2 Rh 2.70

Computed properties:
ρ ... 5.560 g cm⁻³
Electronic total energy ... -19.5 eV for the cell shown
Formation enthalpy at 0 K ... -1.5 eV per formula unit

***

Below is a geometry-optimized SrLaTl2Rh structure, with properties calculated at the PBE-GGA level.

abc: 5.5577 5.5577 5.1356
angles: 90.00 90.00 90.00
With the nearest neighbours (Å) after each atom.
Positions (direct):
Sr: 0.5000 0.5000 0.5000  8 Tl 3.78, 4 La 3.93
Tl: 0.0000 0.5000 0.0000  2 Rh 2.78
Tl: 0.5000 0.0000 0.0000  2 Rh 2.78
Rh: 0.0000 0.0000 0.0000  2 La 2.57, 4 Tl 2.78
La: 0.0000 0.0000 0.5000  2 Rh 2.57

Computed properties:
ρ ... 7.728 g cm⁻³
Electronic total energy ... -20.4 eV for the cell shown
Formation enthalpy at 0 K ... -1.7 eV per formula unit

***

Below is a geometry-optimized SrLa2TlRh structure, with properties calculated at the PBE-GGA level.

abc: 5.4959 5.4959 5.8669
angles: 90.00 90.00 90.00
With the nearest neighbours (Å) after each atom.
Positions (direct):
Sr: 0.0000 0.0000 0.5000  2 Rh 2.93
Tl: 0.5000 0.5000 0.5000  4 Sr 3.89, 8 La 4.02
Rh: 0.0000 0.0000 0.0000  4 La 2.75, 2 Sr 2.93
La: 0.0000 0.5000 0.0000  2 Rh 2.75
La: 0.5000 0.0000 0.0000  2 Rh 2.75

Computed properties:
ρ ... 6.304 g cm⁻³
Electronic total energy ... -23.0 eV for the cell shown
Formation enthalpy at 0 K ... -1.8 eV per formula unit

***

Below is a geometry-optimized SrLa2YRh structure, with properties calculated at the PBE-GGA level.

abc: 5.6850 5.6850 5.7145
angles: 90.00 90.00 90.00
With the nearest neighbours (Å) after each atom.
Positions (direct):
Y: 0.0000 0.0000 0.5000  2 Rh 2.86
Sr: 0.5000 0.5000 0.5000  4 Y 4.02, 8 La 4.03
Rh: 0.0000 0.0000 0.0000  4 La 2.84, 2 Y 2.86
La: 0.0000 0.5000 0.0000  2 Rh 2.84
La: 0.5000 0.0000 0.0000  2 Rh 2.84

Computed properties:
ρ ... 5.010 g cm⁻³
Electronic total energy ... -26.8 eV for the cell shown
Formation enthalpy at 0 K ... -1.4 eV per formula unit

***

Below is a geometry-optimized SrLaY2Rh structure, with properties calculated at the PBE-GGA level.

abc: 5.6179 5.6179 5.5937
angles: 90.00 90.00 90.00
With the nearest neighbours (Å) after each atom.
Positions (direct):
Y: 0.0000 0.5000 0.0000  2 Rh 2.81
Y: 0.5000 0.0000 0.0000  2 Rh 2.81
Sr: 0.5000 0.5000 0.5000  8 Y 3.96, 4 La 3.97
Rh: 0.0000 0.0000 0.0000  2 La 2.80, 4 Y 2.81
La: 0.0000 0.0000 0.5000  2 Rh 2.80

Computed properties:
ρ ... 4.771 g cm⁻³
Electronic total energy ... -28.3 eV for the cell shown
Formation enthalpy at 0 K ... -1.4 eV per formula unit

***

Below is a geometry-optimized SrLaZn2Rh structure, with properties calculated at the PBE-GGA level.

abc: 5.1523 5.1523 5.1144
angles: 90.00 90.00 90.00
With the nearest neighbours (Å) after each atom.
Positions (direct):
Sr: 0.5000 0.5000 0.5000  8 Zn 3.63, 4 La 3.64
Zn: 0.0000 0.5000 0.0000  2 Rh 2.58
Zn: 0.5000 0.0000 0.0000  2 Rh 2.58
Rh: 0.0000 0.0000 0.0000  2 La 2.56, 4 Zn 2.58
La: 0.0000 0.0000 0.5000  2 Rh 2.56

Computed properties:
ρ ... 5.629 g cm⁻³
Electronic total energy ... -18.0 eV for the cell shown
Formation enthalpy at 0 K ... -1.4 eV per formula unit

***

Below is a geometry-optimized Sr2LaZnRh structure, with properties calculated at the PBE-GGA level.

abc: 5.9019 5.9019 5.3513
angles: 90.00 90.00 90.00
With the nearest neighbours (Å) after each atom.
Positions (direct):
Sr: 0.0000 0.5000 0.0000  2 Rh 2.95
Sr: 0.5000 0.0000 0.0000  2 Rh 2.95
Zn: 0.5000 0.5000 0.5000  8 Sr 3.98, 4 La 4.17
Rh: 0.0000 0.0000 0.0000  2 La 2.68, 4 Sr 2.95
La: 0.0000 0.0000 0.5000  2 Rh 2.68

Computed properties:
ρ ... 4.298 g cm⁻³
Electronic total energy ... -17.6 eV for the cell shown
Formation enthalpy at 0 K ... -0.7 eV per formula unit